# Zn2CoSe

A crystal of Zn2CoSe relaxed with PBEsol (SCAN, Alexandria via LeMat-Bulk). Values from VASP.

```
&SYSTEM
  ibrav = 0, nat = 4, ntyp = 3
/
ATOMIC_SPECIES
Zn 65.41 Zn.upf
Co 58.93 Co.upf
Se 78.96 Se.upf
ATOMIC_POSITIONS crystal
Zn 0.016 0.016 0.033
Zn 0.174 0.674 0.349
Co 0.488 0.488 0.977
Se 0.821 0.321 0.641
CELL_PARAMETERS angstrom
2.729 0.000 0.000
0.000 4.042 0.000
-1.364 -2.021 5.558
```

Calculated values
As for the density of states at the Fermi level: 0.322 states/eV/atom.


# Zn2CoSe

A crystal of Zn2CoSe relaxed with PBEsol (SCAN, Alexandria via LeMat-Bulk). Values from VASP.

```
&SYSTEM
  ibrav = 0, nat = 4, ntyp = 3
/
ATOMIC_SPECIES
Se 78.96 Se.upf
Zn 65.41 Zn.upf
Co 58.93 Co.upf
ATOMIC_POSITIONS crystal
Se 0.250 0.750 0.500
Zn 0.750 0.250 0.500
Zn 0.000 0.000 0.000
Co 0.500 0.500 0.000
CELL_PARAMETERS angstrom
3.778 0.000 0.000
0.000 3.778 0.000
-1.889 -1.889 3.894
```

Calculated values
As for the density of states at the Fermi level: 0.498 states/eV/atom.


# ZnCo2Se

A crystal of ZnCo2Se relaxed with PBEsol (SCAN, Alexandria via LeMat-Bulk). Values from VASP.

```
&SYSTEM
  ibrav = 0, nat = 4, ntyp = 3
/
ATOMIC_SPECIES
Co 58.93 Co.upf
Zn 65.41 Zn.upf
Se 78.96 Se.upf
ATOMIC_POSITIONS crystal
Co 0.500 0.000 0.233
Co 0.500 0.000 0.767
Zn 0.000 0.500 0.000
Se 0.500 0.500 0.500
CELL_PARAMETERS angstrom
2.806 0.000 0.000
0.000 3.605 0.000
0.000 0.000 5.128
```

Calculated values
As for the density of states at the Fermi level: 0.843 states/eV/atom. The offset from the most stable computed form is 41 meV/atom.


# Zn2CoSe

A crystal of Zn2CoSe relaxed with PBEsol (SCAN, Alexandria via LeMat-Bulk). Values from VASP.

```
&SYSTEM
  ibrav = 0, nat = 4, ntyp = 3
/
ATOMIC_SPECIES
Se 78.96 Se.upf
Zn 65.41 Zn.upf
Co 58.93 Co.upf
ATOMIC_POSITIONS crystal
Se 0.500 0.500 0.500
Zn 0.735 0.735 0.794
Zn 0.265 0.265 0.206
Co 0.000 0.000 0.000
CELL_PARAMETERS angstrom
2.745 0.000 0.000
1.372 2.377 0.000
1.372 0.792 9.163
```

Calculated values
As for the density of states at the Fermi level: 0.462 states/eV/atom.


# Zr2CoSe

A crystal of Zr2CoSe relaxed with PBEsol (SCAN, Alexandria via LeMat-Bulk). Values from VASP.

```
&SYSTEM
  ibrav = 0, nat = 4, ntyp = 3
/
ATOMIC_SPECIES
Co 58.93 Co.upf
Se 78.96 Se.upf
Zr 91.22 Zr.upf
ATOMIC_POSITIONS crystal
Co 0.500 0.500 0.000
Se 0.500 0.500 0.500
Zr 0.969 0.000 0.232
Zr 0.031 0.000 0.768
CELL_PARAMETERS angstrom
-3.168 -0.442 -0.734
0.798 -2.587 -1.885
0.284 -3.712 5.215
```

Calculated values
As for the density of states at the Fermi level: 1.029 states/eV/atom.


# ZrCoSe

A crystal of ZrCoSe relaxed with PBEsol (SCAN, Alexandria via LeMat-Bulk). Values from VASP.

```
&SYSTEM
  ibrav = 0, nat = 3, ntyp = 3
/
ATOMIC_SPECIES
Se 78.96 Se.upf
Zr 91.22 Zr.upf
Co 58.93 Co.upf
ATOMIC_POSITIONS crystal
Se 0.750 0.750 0.750
Zr 0.000 0.000 0.000
Co 0.500 0.500 0.500
CELL_PARAMETERS angstrom
4.178 0.000 0.000
2.089 3.618 0.000
2.089 1.206 3.411
```

Calculated values
As for the density of states at the Fermi level: 0.699 states/eV/atom.


Formation energy without anion corrections for the records above, in order: 0.008; 0.288; 0.333; 0.268; -0.498; -0.040 eV per atom